## one
Material: Tb3Nd2Th
Method: DFT, PBE-GGA
State: optimized geometry

Properties
space-group type = Pnnm (58)

The structure in extended XYZ format:
```
12
Lattice="7.020 0.000 0.000 0.000 16.292 0.000 0.000 0.000 3.552" Properties=species:S:1:pos:R:3 pbc="T T T"
Tb 0.000 0.000 0.000
Tb 1.720 5.688 0.000
Tb 1.790 13.834 1.776
Tb 3.510 8.146 1.776
Tb 5.230 2.458 1.776
Tb 5.300 10.605 0.000
Nd 1.750 2.529 1.776
Nd 1.760 10.675 0.000
Nd 5.260 5.617 0.000
Nd 5.270 13.764 1.776
Th 0.000 8.146 1.776
Th 3.510 0.000 0.000
```

***

## two
Material: Tb3Nd2Th
Method: DFT, PBE-GGA
State: optimized geometry

Properties
space-group type = C2/c (15)

The structure in extended XYZ format:
```
12
Lattice="4.540 -4.950 0.000 4.540 4.950 0.000 -1.877 0.000 8.896" Properties=species:S:1:pos:R:3 pbc="T T T"
Tb 3.133 4.140 6.672
Tb 2.307 0.824 0.018
Tb 1.368 -0.824 4.466
Tb 5.835 0.824 4.430
Tb 4.897 -0.824 8.878
Tb 4.071 -4.140 2.224
Nd 2.701 2.478 3.343
Nd 5.442 2.478 1.105
Nd 1.762 -2.478 7.791
Nd 4.503 -2.478 5.554
Th 3.133 0.843 6.672
Th 4.071 -0.843 2.224
```

***

Tell me which of them is the most stable. Sure, it is two.

***

## one
Material: Tb3Nd2Th2
Method: DFT, PBE-GGA
State: optimized geometry

Properties
space-group type = C2/m (12)

The structure in extended XYZ format:
```
7
Lattice="8.841 -1.735 0.000 8.841 1.735 0.000 -4.254 0.000 7.571" Properties=species:S:1:pos:R:3 pbc="T T T"
Tb 0.000 0.000 0.000
Tb 3.247 0.000 1.025
Tb 10.180 0.000 6.546
Nd 6.523 0.000 2.155
Nd 6.904 0.000 5.417
Th 0.789 0.000 3.452
Th 12.638 0.000 4.119
```

***

## two
Material: Tb3Nd2Th2
Method: DFT, PBE-GGA
State: optimized geometry

Properties
space-group type = P-1 (2)

The structure in extended XYZ format:
```
7
Lattice="3.612 0.000 0.000 1.799 5.963 0.000 0.004 1.084 10.722" Properties=species:S:1:pos:R:3 pbc="T T T"
Tb 0.000 0.000 0.000
Tb 1.804 4.860 6.181
Tb 3.611 2.187 4.541
Nd 1.805 1.650 7.683
Nd 3.610 5.398 3.039
Th 1.801 2.705 1.475
Th 3.614 4.343 9.247
```

***

Tell me which of them is the most stable. Sure, it is two.

***

## one
Material: Tb2Nd4Th3
Method: DFT, PBE-GGA
State: optimized geometry

Properties
space-group type = P3m1 (156)

The structure in extended XYZ format:
```
9
Lattice="3.593 0.000 0.000 -1.796 3.111 0.000 0.000 0.000 27.157" Properties=species:S:1:pos:R:3 pbc="T T T"
Tb 0.000 0.000 0.000
Tb 0.000 0.000 5.767
Nd 0.000 0.000 9.165
Nd 0.000 0.000 15.065
Nd 0.000 2.074 18.210
Nd 0.000 2.074 24.169
Th 0.000 0.000 21.175
Th 0.000 2.074 2.941
Th 0.000 2.074 12.092
```

***

## two
Material: Tb2Nd4Th3
Method: DFT, PBE-GGA
State: optimized geometry

Properties
space-group type = C2/m (12)

The structure in extended XYZ format:
```
9
Lattice="7.876 -1.814 0.000 7.876 1.814 0.000 -2.590 0.000 10.543" Properties=species:S:1:pos:R:3 pbc="T T T"
Tb 2.013 0.000 2.337
Tb 11.149 0.000 8.205
Nd 0.255 0.000 9.340
Nd 6.109 0.000 6.981
Nd 7.053 0.000 3.562
Nd 12.907 0.000 1.202
Th 1.277 0.000 5.877
Th 7.876 0.000 0.000
Th 11.885 0.000 4.666
```

***

Tell me which of them is the most stable. Sure, it is two.

***

## one
Material: Tb3Nd4Th
Method: DFT, PBE-GGA
State: optimized geometry

Properties
space-group type = C2/m (12)

The structure in extended XYZ format:
```
8
Lattice="11.852 -1.742 0.000 11.852 1.742 0.000 -1.979 0.000 6.603" Properties=species:S:1:pos:R:3 pbc="T T T"
Tb 0.000 0.000 0.000
Tb 2.131 0.000 2.533
Tb 19.596 0.000 4.071
Nd 1.177 0.000 5.688
Nd 5.598 0.000 1.744
Nd 16.128 0.000 4.860
Nd 20.549 0.000 0.916
Th 10.863 0.000 3.302
```

***

## two
Material: Tb3Nd4Th
Method: DFT, PBE-GGA
State: optimized geometry

Properties
space-group type = Cmmm (65)

The structure in extended XYZ format:
```
8
Lattice="5.945 -6.717 0.000 5.945 6.717 0.000 0.000 0.000 3.442" Properties=species:S:1:pos:R:3 pbc="T T T"
Tb 0.000 0.000 0.000
Tb 2.972 3.359 1.721
Tb 2.972 -3.359 1.721
Nd 5.945 3.379 0.000
Nd 3.060 0.000 1.721
Nd 8.830 0.000 1.721
Nd 5.945 -3.379 0.000
Th 5.945 0.000 0.000
```

***

Tell me which of them is the most stable. Sure, it is one.

***

## one
Material: Tb6NdTh2
Method: DFT, PBE-GGA
State: optimized geometry

Properties
space-group type = Cmmm (65)

The structure in extended XYZ format:
```
9
Lattice="4.891 -8.491 0.000 4.891 8.491 0.000 0.000 0.000 3.497" Properties=species:S:1:pos:R:3 pbc="T T T"
Tb 1.606 0.000 0.000
Tb 3.250 2.849 0.000
Tb 3.250 -2.849 0.000
Tb 6.531 2.849 0.000
Tb 6.531 -2.849 0.000
Tb 8.176 0.000 0.000
Nd 4.891 0.000 1.748
Th 4.891 5.659 1.748
Th 4.891 -5.659 1.748
```

***

## two
Material: Tb6NdTh2
Method: DFT, PBE-GGA
State: optimized geometry

Properties
space-group type = P-6m2 (187)

The structure in extended XYZ format:
```
9
Lattice="3.582 0.000 0.000 -1.791 3.102 0.000 0.000 0.000 26.567" Properties=species:S:1:pos:R:3 pbc="T T T"
Tb 0.000 0.000 1.671
Tb 0.000 0.000 7.450
Tb 0.000 0.000 19.117
Tb 0.000 0.000 24.896
Tb 0.000 2.068 10.307
Tb 0.000 2.068 16.261
Nd 0.000 0.000 13.284
Th 0.000 2.068 4.499
Th 0.000 2.068 22.068
```

***

Tell me which of them is the most stable. Sure, it is one.

***

## one
Material: Tb3NdTh2
Method: DFT, PBE-GGA
State: optimized geometry

Properties
space-group type = P-3m1 (164)

The structure in extended XYZ format:
```
12
Lattice="7.182 0.000 0.000 -3.591 6.220 0.000 0.000 0.000 8.772" Properties=species:S:1:pos:R:3 pbc="T T T"
Tb 0.000 2.063 1.543
Tb -1.804 5.188 1.543
Tb 1.787 1.031 7.229
Tb 1.804 5.188 1.543
Tb 5.396 1.031 7.229
Tb 3.591 4.157 7.229
Nd 0.000 4.147 7.256
Nd 3.591 2.073 1.516
Th 0.000 0.000 4.386
Th -1.796 3.110 4.386
Th 3.591 0.000 4.386
Th 1.796 3.110 4.386
```

***

## two
Material: Tb3NdTh2
Method: DFT, PBE-GGA
State: optimized geometry

Properties
space-group type = P2_1/m (11)

The structure in extended XYZ format:
```
12
Lattice="10.131 0.000 0.000 0.000 3.591 0.000 -0.069 0.000 10.755" Properties=species:S:1:pos:R:3 pbc="T T T"
Tb 1.245 0.898 2.688
Tb 1.275 0.898 6.267
Tb 3.697 2.693 0.886
Tb 6.364 0.898 9.869
Tb 8.786 2.693 4.488
Tb 8.817 2.693 8.067
Nd 3.764 2.693 8.067
Nd 6.298 0.898 2.688
Th 1.143 0.898 9.887
Th 3.781 2.693 4.513
Th 6.280 0.898 6.242
Th 8.919 2.693 0.868
```

***

Tell me which of them is the most stable. Sure, it is one.

***

## one
Material: Tb7NdTh2
Method: DFT, PBE-GGA
State: optimized geometry

Properties
space-group type = C2/m (12)

The structure in extended XYZ format:
```
10
Lattice="6.250 -5.674 0.000 6.250 5.674 0.000 -2.445 0.000 5.011" Properties=species:S:1:pos:R:3 pbc="T T T"
Tb 0.000 0.000 0.000
Tb 2.498 1.705 1.245
Tb 5.028 3.836 2.505
Tb 2.498 -1.705 1.245
Tb 7.557 1.705 3.766
Tb 5.028 -3.836 2.505
Tb 7.557 -1.705 3.766
Nd 5.028 0.000 2.505
Th 6.250 1.780 0.000
Th 6.250 -1.780 0.000
```

***

## two
Material: Tb7NdTh2
Method: DFT, PBE-GGA
State: optimized geometry

Properties
space-group type = Cmmm (65)

The structure in extended XYZ format:
```
10
Lattice="4.368 -8.326 0.000 4.368 8.326 0.000 0.000 0.000 5.554" Properties=species:S:1:pos:R:3 pbc="T T T"
Tb 0.000 0.000 0.000
Tb 2.826 1.870 0.000
Tb 4.368 3.536 2.777
Tb 2.826 -1.870 0.000
Tb 5.911 1.870 0.000
Tb 4.368 -3.536 2.777
Tb 5.911 -1.870 0.000
Nd 4.368 0.000 2.777
Th 4.368 4.926 0.000
Th 4.368 -4.926 0.000
```

***

Tell me which of them is the most stable. Sure, it is one.

***

## one
Material: TbNdYTh
Method: DFT, PBE-GGA
State: optimized geometry

Properties
space-group type = F-43m (216)

The structure in extended XYZ format:
```
4
Lattice="0.000 4.046 4.046 4.046 0.000 4.046 4.046 4.046 0.000" Properties=species:S:1:pos:R:3 pbc="T T T"
Tb 0.000 0.000 0.000
Nd 6.069 6.069 6.069
Y 4.046 4.046 4.046
Th 2.023 2.023 2.023
```

***

## two
Material: TbNdYTh
Method: DFT, PBE-GGA
State: optimized geometry

Properties
space-group type = R3m (160)

The structure in extended XYZ format:
```
4
Lattice="1.807 1.043 11.623 -1.807 1.043 11.623 0.000 -2.086 11.623" Properties=species:S:1:pos:R:3 pbc="T T T"
Tb 0.000 0.000 0.000
Nd 0.000 0.000 26.228
Y 0.000 0.000 5.998
Th 0.000 0.000 20.450
```

***

Tell me which of them is the most stable. Sure, it is two.